{"formula": "LuCuOs", "functional": "PBE", "state": "optimized geometry", "lattice_angstrom": [[0.0000, 3.0925, 3.0925], [3.0925, 0.0000, 3.0925], [3.0925, 3.0925, 0.0000]], "species": ["Cu", "Lu", "Os"], "frac_coords": [[0.2500, 0.2500, 0.2500], [0.7500, 0.7500, 0.7500], [0.0000, 0.0000, 0.0000]], "magnetic_moment_mub_per_cell": 0.1, "final_energy_ev_per_atom": -5.956, "e_above_lowest_polymorph_kcal_per_mol_atoms": 0.00, "space_group": "F-43m, No. 216", "delta_e_f_ev_per_atom": 0.533}